Entry 1:
# NdDyGa4 (PBE-GGA, optimized geometry)
data_NdDyGa4
_cell_length_a 4.219
_cell_length_b 4.219
_cell_length_c 7.975
_cell_angle_alpha 105.34
_cell_angle_beta 105.34
_cell_angle_gamma 90.00
_symmetry_space_group_name_H-M 'P 1'
_symmetry_Int_Tables_number 1
loop_
_symmetry_equiv_pos_as_xyz
'x,y,z'
loop_
_atom_site_label
_atom_site_fract_x
_atom_site_fract_y
_atom_site_fract_z
Nd1 0.000 0.000 0.000
Dy1 0.250 0.750 0.500
Ga1 0.668 0.168 0.336
Ga2 0.584 0.584 0.168
Ga3 0.832 0.332 0.664
Ga4 0.416 0.416 0.832
# excess energy over the best structure of this formula in the dataset	0.080	eV per formula unit
# calculated formation energy	-0.655	eV per atom
# space group	I-4m2, No. 119
# total magnetic moment	0.00	μB per cell

---

Entry 2:
# SmB2Ru3 (PBE-GGA, optimized geometry)
data_SmB2Ru3
_cell_length_a 3.588
_cell_length_b 8.908
_cell_length_c 8.908
_cell_angle_alpha 120.00
_cell_angle_beta 90.00
_cell_angle_gamma 90.00
_symmetry_space_group_name_H-M 'P 1'
_symmetry_Int_Tables_number 1
loop_
_symmetry_equiv_pos_as_xyz
'x,y,z'
loop_
_atom_site_label
_atom_site_fract_x
_atom_site_fract_y
_atom_site_fract_z
Sm1 0.500 0.000 0.000
Sm2 0.000 0.667 0.333
Sm3 0.000 0.333 0.667
B1 0.500 0.809 0.191
B2 0.500 0.381 0.191
B3 0.500 0.809 0.619
B4 0.500 0.191 0.809
B5 0.500 0.619 0.809
B6 0.500 0.191 0.381
Ru1 0.500 0.500 0.500
Ru2 0.500 0.000 0.500
Ru3 0.500 0.500 0.000
Ru4 0.000 0.716 0.716
Ru5 0.000 0.000 0.284
Ru6 0.000 0.284 0.000
Ru7 0.000 0.284 0.284
Ru8 0.000 0.000 0.716
Ru9 0.000 0.716 0.000
# excess energy over the best structure of this formula in the dataset	1.420	eV per formula unit
# calculated formation energy	-0.194	eV per atom
# space group	P6/mmm, No. 191
# total magnetic moment	0.00	μB per cell

---

Entry 3:
# Li2LaMo (PBE-GGA, optimized geometry)
data_Li2LaMo
_cell_length_a 3.288
_cell_length_b 4.617
_cell_length_c 5.451
_cell_angle_alpha 90.00
_cell_angle_beta 90.00
_cell_angle_gamma 90.00
_symmetry_space_group_name_H-M 'P 1'
_symmetry_Int_Tables_number 1
loop_
_symmetry_equiv_pos_as_xyz
'x,y,z'
loop_
_atom_site_label
_atom_site_fract_x
_atom_site_fract_y
_atom_site_fract_z
La1 0.000 0.500 0.500
Li1 0.000 0.000 0.000
Li2 0.500 0.500 0.000
Mo1 0.500 0.000 0.500
# excess energy over the best structure of this formula in the dataset	0.234	eV per formula unit
# calculated formation energy	0.471	eV per atom
# space group	Pmmm, No. 47
# total magnetic moment	0.00	μB per cell

---

Entry 4:
# Ti4H3 (PBE-GGA, optimized geometry)
data_Ti4H3
_cell_length_a 4.210
_cell_length_b 4.210
_cell_length_c 4.378
_cell_angle_alpha 90.00
_cell_angle_beta 90.00
_cell_angle_gamma 90.00
_symmetry_space_group_name_H-M 'P 1'
_symmetry_Int_Tables_number 1
loop_
_symmetry_equiv_pos_as_xyz
'x,y,z'
loop_
_atom_site_label
_atom_site_fract_x
_atom_site_fract_y
_atom_site_fract_z
Ti1 0.256 0.256 0.261
Ti2 0.744 0.744 0.261
Ti3 0.744 0.256 0.739
Ti4 0.256 0.744 0.739
H1 0.000 0.000 0.000
H2 0.000 0.000 0.500
H3 0.500 0.500 0.000
# excess energy over the best structure of this formula in the dataset	0.000	eV per formula unit
# space group	P-42m, No. 111
# total magnetic moment	0.00	μB per cell

---

Entry 5:
# TiTl3V (PBE-GGA, optimized geometry)
data_TiTl3V
_cell_length_a 5.194
_cell_length_b 5.194
_cell_length_c 5.194
_cell_angle_alpha 90.00
_cell_angle_beta 90.00
_cell_angle_gamma 90.00
_symmetry_space_group_name_H-M 'P 1'
_symmetry_Int_Tables_number 1
loop_
_symmetry_equiv_pos_as_xyz
'x,y,z'
loop_
_atom_site_label
_atom_site_fract_x
_atom_site_fract_y
_atom_site_fract_z
Tl1 0.000 0.500 0.000
Tl2 0.000 0.000 0.500
Tl3 0.500 0.000 0.000
V1 0.000 0.000 0.000
Ti1 0.500 0.500 0.500
# excess energy over the best structure of this formula in the dataset	0.000	eV per formula unit
# calculated formation energy	0.913	eV per atom
# space group	Pm-3m, No. 221
# total magnetic moment	1.80	μB per cell

---

Entry 6:
# RbAcSn4 (PBE-GGA, optimized geometry)
data_RbAcSn4
_cell_length_a 6.458
_cell_length_b 6.458
_cell_length_c 6.458
_cell_angle_alpha 60.00
_cell_angle_beta 60.00
_cell_angle_gamma 60.00
_symmetry_space_group_name_H-M 'P 1'
_symmetry_Int_Tables_number 1
loop_
_symmetry_equiv_pos_as_xyz
'x,y,z'
loop_
_atom_site_label
_atom_site_fract_x
_atom_site_fract_y
_atom_site_fract_z
Ac1 0.250 0.250 0.250
Sn1 0.624 0.624 0.129
Sn2 0.624 0.129 0.624
Sn3 0.624 0.624 0.624
Sn4 0.129 0.624 0.624
Rb1 0.000 0.000 0.000
# calculated formation energy	-0.344	eV per atom
# space group	F-43m, No. 216
# total magnetic moment	0.00	μB per cell

---

Entry 7:
# LiHo2PbO6 (PBE-GGA, optimized geometry)
data_LiHo2PbO6
_cell_length_a 5.669
_cell_length_b 5.669
_cell_length_c 6.034
_cell_angle_alpha 61.97
_cell_angle_beta 61.97
_cell_angle_gamma 60.00
_symmetry_space_group_name_H-M 'P 1'
_symmetry_Int_Tables_number 1
loop_
_symmetry_equiv_pos_as_xyz
'x,y,z'
loop_
_atom_site_label
_atom_site_fract_x
_atom_site_fract_y
_atom_site_fract_z
Li1 0.802 0.802 0.594
Ho1 0.523 0.523 0.431
Ho2 0.022 0.022 0.935
Pb1 0.313 0.313 0.062
O1 0.611 0.214 0.246
O2 0.214 0.930 0.246
O3 0.929 0.611 0.246
O4 0.422 0.705 0.752
O5 0.705 0.121 0.752
O6 0.121 0.422 0.752
# raw formation energy	-2.2012	eV/atom
# space group	R3, No. 146
# total magnetic moment	1.10	μB per cell

---

Entry 8:
# BaLaBr2 (PBE-GGA, optimized geometry)
data_BaLaBr2
_cell_length_a 5.538
_cell_length_b 5.538
_cell_length_c 5.538
_cell_angle_alpha 60.00
_cell_angle_beta 60.00
_cell_angle_gamma 60.00
_symmetry_space_group_name_H-M 'P 1'
_symmetry_Int_Tables_number 1
loop_
_symmetry_equiv_pos_as_xyz
'x,y,z'
loop_
_atom_site_label
_atom_site_fract_x
_atom_site_fract_y
_atom_site_fract_z
Ba1 0.000 0.000 0.000
Br1 0.250 0.250 0.250
Br2 0.750 0.750 0.750
La1 0.500 0.500 0.500
# excess energy over the best structure of this formula in the dataset	0.887	eV per formula unit
# raw formation energy	-1.1472	eV/atom
# space group	Fm-3m, No. 225
# total magnetic moment	0.00	μB per cell

---

Entry 9:
# PuNpAu2 (PBE-GGA, optimized geometry)
data_PuNpAu2
_cell_length_a 4.375
_cell_length_b 4.560
_cell_length_c 4.560
_cell_angle_alpha 90.00
_cell_angle_beta 90.00
_cell_angle_gamma 90.00
_symmetry_space_group_name_H-M 'P 1'
_symmetry_Int_Tables_number 1
loop_
_symmetry_equiv_pos_as_xyz
'x,y,z'
loop_
_atom_site_label
_atom_site_fract_x
_atom_site_fract_y
_atom_site_fract_z
Np1 0.500 0.500 0.500
Au1 0.000 0.000 0.500
Au2 0.000 0.500 0.000
Pu1 0.500 0.000 0.000
# excess energy over the best structure of this formula in the dataset	0.069	eV per formula unit
# calculated formation energy	-0.187	eV per atom
# space group	P4/mmm, No. 123
# total magnetic moment	10.78	μB per cell

---

Entry 10:
# CsCu2SbI6 (PBE-GGA, optimized geometry)
data_CsCu2SbI6
_cell_length_a 7.741
_cell_length_b 10.899
_cell_length_c 10.899
_cell_angle_alpha 88.53
_cell_angle_beta 87.29
_cell_angle_gamma 87.29
_symmetry_space_group_name_H-M 'P 1'
_symmetry_Int_Tables_number 1
loop_
_symmetry_equiv_pos_as_xyz
'x,y,z'
loop_
_atom_site_label
_atom_site_fract_x
_atom_site_fract_y
_atom_site_fract_z
Cs1 0.250 0.919 0.081
Cs2 0.750 0.081 0.919
Cu1 0.240 0.656 0.519
Cu2 0.260 0.481 0.344
Cu3 0.760 0.344 0.481
Cu4 0.740 0.519 0.656
Sb1 0.250 0.277 0.723
Sb2 0.750 0.723 0.277
I1 0.161 0.017 0.733
I2 0.339 0.267 0.983
I3 0.839 0.983 0.267
I4 0.661 0.733 0.017
I5 0.407 0.822 0.402
I6 0.093 0.598 0.178
I7 0.593 0.178 0.598
I8 0.907 0.402 0.822
I9 0.910 0.691 0.546
I10 0.590 0.454 0.309
I11 0.090 0.309 0.454
I12 0.410 0.546 0.691
# raw formation energy	-0.4711	eV/atom
# space group	C2/c, No. 15
# total magnetic moment	0.00	μB per cell

---

Entry 11:
# Cu4AgAu7 (PBE-GGA, optimized geometry)
data_Cu4AgAu7
_cell_length_a 5.724
_cell_length_b 4.982
_cell_length_c 8.374
_cell_angle_alpha 74.23
_cell_angle_beta 59.67
_cell_angle_gamma 90.40
_symmetry_space_group_name_H-M 'P 1'
_symmetry_Int_Tables_number 1
loop_
_symmetry_equiv_pos_as_xyz
'x,y,z'
loop_
_atom_site_label
_atom_site_fract_x
_atom_site_fract_y
_atom_site_fract_z
Cu1 0.495 0.655 0.337
Cu2 0.505 0.345 0.663
Cu3 0.746 0.836 0.669
Cu4 0.254 0.164 0.331
Ag1 0.000 0.000 0.000
Au1 0.741 0.502 0.007
Au2 0.259 0.498 0.993
Au3 0.008 0.319 0.654
Au4 0.992 0.681 0.346
Au5 0.258 0.822 0.652
Au6 0.500 0.000 0.000
Au7 0.742 0.178 0.348
# excess energy over the best structure of this formula in the dataset	0.000	eV per formula unit
# calculated formation energy	-0.009	eV per atom
# space group	P-1, No. 2
# total magnetic moment	0.00	μB per cell

---

Entry 12:
# NiHgTe2 (PBE-GGA, optimized geometry)
data_NiHgTe2
_cell_length_a 4.066
_cell_length_b 4.824
_cell_length_c 5.668
_cell_angle_alpha 84.78
_cell_angle_beta 90.00
_cell_angle_gamma 90.00
_symmetry_space_group_name_H-M 'P 1'
_symmetry_Int_Tables_number 1
loop_
_symmetry_equiv_pos_as_xyz
'x,y,z'
loop_
_atom_site_label
_atom_site_fract_x
_atom_site_fract_y
_atom_site_fract_z
Hg1 0.000 0.532 0.536
Ni1 0.500 0.841 0.693
Te1 0.000 0.940 0.923
Te2 0.500 0.187 0.349
# raw formation energy	0.0722	eV/atom
# space group	Pm, No. 6
# total magnetic moment	0.00	μB per cell